{
  "formula": "LiBeN3",
  "functional": "PBEsol",
  "state": "optimized geometry",
  "lattice": [[3.438, 0.000, 0.000], [0.000, 3.438, 0.000], [0.000, 0.000, 3.438]],
  "species": ["Li", "Be", "N", "N", "N"],
  "frac_coords": [[0.000, 0.000, 0.000], [0.500, 0.500, 0.500], [0.000, 0.500, 0.500], [0.500, 0.000, 0.500], [0.500, 0.500, 0.000]],
  "spacegroup": "Pm-3m, No. 221",
  "dft_energy_ev_per_atom": -5.178,
  "mass_density_g_cm3": 2.37,
  "raw_formation_energy_ev_per_atom": 1.13
}